Entry A
12
Lattice="5.272 0.000 0.000 0.000 9.918 0.000 0.000 0.000 6.779" Properties=species:S:1:pos:R:3 comment="PBE-GGA PrY3In2, optimized geometry" space_group="Pmc2_1 (26)" dos_at_fermi_per_ev_cell=12.20 volume_a3_per_atom=29.54 magmom_total_mub_per_fu=0.00 pbc="T T T"
Pr 0.000 0.369 0.000
Pr 0.000 9.550 3.389
Y 0.000 3.203 4.405
Y 0.000 6.715 1.016
Y 2.636 1.828 1.877
Y 2.636 4.558 6.322
Y 2.636 5.361 2.933
Y 2.636 8.090 5.266
In 0.000 3.567 1.207
In 0.000 6.351 4.597
In 2.636 1.463 5.061
In 2.636 8.455 1.672

***

Entry B
12
Lattice="8.201 -2.718 0.000 8.201 2.718 0.000 -4.457 0.000 8.111" Properties=species:S:1:pos:R:3 comment="PBE-GGA PrY3In2, optimized geometry" space_group="C2/m (12)" dos_at_fermi_per_ev_cell=12.19 volume_a3_per_atom=30.13 magmom_total_mub_per_fu=0.60 pbc="T T T"
Pr 1.376 0.000 1.411
Pr 10.569 0.000 6.700
Y -2.210 0.000 5.803
Y 5.010 0.000 0.040
Y 4.239 0.000 3.729
Y 7.705 0.000 4.383
Y 6.935 0.000 8.071
Y 14.155 0.000 2.309
In 1.044 0.000 4.827
In 4.192 0.000 6.754
In 7.753 0.000 1.357
In 10.900 0.000 3.284

***

Most stable structure: entry A

***

Entry A
9
Lattice="8.815 -4.784 0.000 8.815 4.784 0.000 -0.694 0.000 3.440" Properties=species:S:1:pos:R:3 comment="PBE-GGA Pr6YIn2, optimized geometry" space_group="C2/m (12)" dos_at_fermi_per_ev_cell=12.49 volume_a3_per_atom=32.23 magmom_total_mub_per_fu=0.00 pbc="T T T"
Pr 5.237 1.783 2.857
Pr 8.815 3.221 0.000
Pr 11.698 1.783 0.583
Pr 5.237 -1.783 2.857
Pr 8.815 -3.221 0.000
Pr 11.698 -1.783 0.583
Y 8.468 0.000 1.720
In 2.256 0.000 2.244
In 14.680 0.000 1.196

***

Entry B
9
Lattice="6.631 -1.937 0.000 6.631 1.937 0.000 -3.802 0.000 11.610" Properties=species:S:1:pos:R:3 comment="PBE-GGA Pr6YIn2, optimized geometry" space_group="C2/m (12)" dos_at_fermi_per_ev_cell=10.94 volume_a3_per_atom=33.13 magmom_total_mub_per_fu=0.00 pbc="T T T"
Pr -1.030 0.000 3.930
Pr 2.518 0.000 4.732
Pr 3.765 0.000 1.427
Pr 5.695 0.000 10.183
Pr 6.942 0.000 6.878
Pr 10.490 0.000 7.680
Y 0.000 0.000 0.000
In 1.703 0.000 9.361
In 7.758 0.000 2.249

***

Most stable structure: entry B

***

Entry A
12
Lattice="5.561 0.000 0.000 0.000 6.898 0.000 0.000 0.000 9.697" Properties=species:S:1:pos:R:3 comment="PBE-GGA PrY4In, optimized geometry" space_group="Pmmn (59)" dos_at_fermi_per_ev_cell=17.28 volume_a3_per_atom=31.00 magmom_total_mub_per_fu=0.00 pbc="T T T"
Pr 1.390 1.725 0.714
Pr 4.171 5.174 8.983
Y 1.390 1.725 4.067
Y 1.390 3.477 7.190
Y 1.390 5.174 1.069
Y 1.390 6.870 7.190
Y 4.171 0.028 2.507
Y 4.171 1.725 8.628
Y 4.171 3.421 2.507
Y 4.171 5.174 5.630
In 1.390 5.174 4.173
In 4.171 1.725 5.524

***

Entry B
6
Lattice="3.624 0.000 0.000 0.000 3.624 0.000 0.000 0.000 14.334" Properties=species:S:1:pos:R:3 comment="PBE-GGA PrY4In, optimized geometry" space_group="P4/mmm (123)" dos_at_fermi_per_ev_cell=7.20 volume_a3_per_atom=31.37 magmom_total_mub_per_fu=0.00 pbc="T T T"
Pr 0.000 0.000 0.000
Y 0.000 0.000 5.112
Y 0.000 0.000 9.222
Y 1.812 1.812 2.577
Y 1.812 1.812 11.757
In 1.812 1.812 7.167

***

Most stable structure: entry B

***

Entry A
10
Lattice="5.063 0.000 0.000 0.000 7.104 0.000 0.000 0.000 8.561" Properties=species:S:1:pos:R:3 comment="PBE-GGA Pr2YIn2, optimized geometry" space_group="Immm (71)" dos_at_fermi_per_ev_cell=9.16 volume_a3_per_atom=30.79 magmom_total_mub_per_fu=0.00 pbc="T T T"
Pr 0.000 0.000 1.651
Pr 0.000 0.000 6.909
Pr 2.531 3.552 2.629
Pr 2.531 3.552 5.932
Y 0.000 3.552 0.000
Y 2.531 0.000 4.280
In 0.000 2.046 4.280
In 0.000 5.058 4.280
In 2.531 1.506 0.000
In 2.531 5.598 0.000

***

Entry B
10
Lattice="3.846 0.000 0.000 0.000 5.443 0.000 -1.928 0.000 14.337" Properties=species:S:1:pos:R:3 comment="PBE-GGA Pr2YIn2, optimized geometry" space_group="P2_1/m (11)" dos_at_fermi_per_ev_cell=8.17 volume_a3_per_atom=30.01 magmom_total_mub_per_fu=0.00 pbc="T T T"
Pr 0.000 1.361 1.333
Pr 0.000 1.361 6.780
Pr 1.917 4.082 7.557
Pr 1.917 4.082 13.004
Y -0.005 4.082 4.219
Y 1.922 1.361 10.117
In -0.004 4.082 10.242
In -0.005 1.361 12.814
In 1.922 4.082 1.522
In 1.921 1.361 4.095

***

Most stable structure: entry A

***

Entry A
18
Lattice="10.545 -4.658 0.000 10.545 4.658 0.000 -1.998 0.000 6.178" Properties=species:S:1:pos:R:3 comment="PBE-GGA Pr6Y2In, optimized geometry" space_group="C2/c (15)" dos_at_fermi_per_ev_cell=21.97 volume_a3_per_atom=33.72 magmom_total_mub_per_fu=0.00 pbc="T T T"
Pr 1.237 0.663 1.325
Pr 6.836 2.325 0.507
Pr 0.238 -0.663 4.414
Pr 7.764 0.673 3.448
Pr 13.256 2.325 2.582
Pr 8.762 -0.673 0.359
Pr 10.331 0.673 5.819
Pr 5.837 -2.325 3.596
Pr 11.329 -0.673 2.730
Pr 18.855 0.663 1.764
Pr 12.257 -2.325 5.671
Pr 17.856 -0.663 4.853
Y 4.102 0.714 3.608
Y 5.101 -0.714 0.519
Y 13.992 0.714 5.660
Y 14.991 -0.714 2.570
In 10.046 2.322 1.545
In 9.047 -2.322 4.634

***

Entry B
18
Lattice="11.038 0.000 0.000 0.000 11.038 0.000 0.000 0.000 4.974" Properties=species:S:1:pos:R:3 comment="PBE-GGA Pr6Y2In, optimized geometry" space_group="P4_2/mnm (136)" dos_at_fermi_per_ev_cell=26.15 volume_a3_per_atom=33.67 magmom_total_mub_per_fu=0.00 pbc="T T T"
Pr 0.107 3.677 0.000
Pr 1.754 1.754 2.487
Pr 1.842 5.626 2.487
Pr 3.677 0.107 0.000
Pr 3.765 7.272 0.000
Pr 5.412 9.196 2.487
Pr 5.626 1.842 2.487
Pr 7.272 3.765 0.000
Pr 7.361 10.931 0.000
Pr 9.196 5.412 2.487
Pr 9.284 9.284 2.487
Pr 10.931 7.361 0.000
Y 1.754 9.284 2.487
Y 3.765 3.765 0.000
Y 7.273 7.273 0.000
Y 9.284 1.754 2.487
In 0.000 0.000 0.000
In 5.519 5.519 2.487

***

Most stable structure: entry B

***

Entry A
18
Lattice="-4.448 4.448 7.247 4.448 -4.448 7.247 4.448 4.448 -7.247" Properties=species:S:1:pos:R:3 comment="PBE-GGA Pr5YIn3, optimized geometry" space_group="I4/mcm (140)" dos_at_fermi_per_ev_cell=14.17 volume_a3_per_atom=31.87 magmom_total_mub_per_fu=0.00 pbc="T T T"
Pr 0.000 0.000 0.000
Pr 6.296 1.848 -1.952
Pr 1.848 2.600 -1.952
Pr 6.296 1.848 1.952
Pr 1.848 2.600 1.952
Pr 0.000 0.000 7.247
Pr 2.600 1.848 5.296
Pr -1.848 2.600 5.296
Pr 2.600 1.848 9.199
Pr -1.848 2.600 9.199
Y 4.448 0.000 3.624
Y 0.000 4.448 3.624
In 3.490 0.958 0.000
In 0.000 0.000 3.624
In 3.490 -0.958 7.247
In 0.958 5.406 0.000
In 0.000 0.000 10.871
In 0.958 3.490 7.247

***

Entry B
18
Lattice="9.640 0.000 0.000 -4.820 8.349 0.000 0.000 0.000 6.972" Properties=species:S:1:pos:R:3 comment="PBE-GGA Pr5YIn3, optimized geometry" space_group="P6_3/mcm (193)" dos_at_fermi_per_ev_cell=22.97 volume_a3_per_atom=31.17 magmom_total_mub_per_fu=0.40 pbc="T T T"
Pr -1.642 2.844 1.743
Pr -3.178 5.505 5.229
Pr 0.000 5.566 0.000
Pr 0.000 5.566 3.486
Pr 3.284 0.000 1.743
Pr 1.642 2.844 5.229
Pr 6.357 0.000 5.229
Pr 3.178 5.505 1.743
Pr 4.820 2.783 0.000
Pr 4.820 2.783 3.486
Y 0.000 0.000 0.000
Y 0.000 0.000 3.486
In -1.550 2.684 5.229
In -3.270 5.665 1.743
In 3.100 0.000 5.229
In 1.550 2.684 1.743
In 6.541 0.000 1.743
In 3.270 5.665 5.229

***

Most stable structure: entry B

***

Entry A
10
Lattice="1.886 -14.830 0.000 1.886 14.830 0.000 0.000 0.000 4.925" Properties=species:S:1:pos:R:3 comment="PBE-GGA PrYIn3, optimized geometry" space_group="Cmcm (63)" dos_at_fermi_per_ev_cell=5.75 volume_a3_per_atom=27.55 magmom_total_mub_per_fu=0.34 pbc="T T T"
Pr 1.886 12.623 3.694
Pr 1.886 -12.623 1.231
Y 1.886 8.520 1.231
Y 1.886 -8.520 3.694
In 1.886 5.327 1.231
In 1.886 3.635 3.694
In 1.886 0.736 3.694
In 1.886 -0.736 1.231
In 1.886 -3.635 1.231
In 1.886 -5.327 3.694

***

Entry B
10
Lattice="-2.942 2.942 11.399 2.942 -2.942 11.399 2.942 2.942 -11.399" Properties=species:S:1:pos:R:3 comment="PBE-GGA PrYIn3, optimized geometry" space_group="I-4m2 (119)" dos_at_fermi_per_ev_cell=9.35 volume_a3_per_atom=39.46 magmom_total_mub_per_fu=0.00 pbc="T T T"
Pr 0.000 0.000 0.000
Pr 0.000 2.942 5.700
Y 0.000 0.000 9.606
Y 0.000 0.000 13.193
In 2.942 0.000 0.039
In 0.000 1.459 2.894
In 2.942 0.000 11.360
In -1.482 2.942 8.505
In 1.482 2.942 8.505
In 0.000 4.424 2.894

***

Most stable structure: entry A

***

Entry A
10
Lattice="5.336 0.000 0.000 0.002 6.740 0.000 0.007 2.572 8.207" Properties=species:S:1:pos:R:3 comment="PBE-GGA PrY2In2, optimized geometry" space_group="P-1 (2)" dos_at_fermi_per_ev_cell=10.18 volume_a3_per_atom=29.52 magmom_total_mub_per_fu=0.00 pbc="T T T"
Pr 1.336 2.330 2.049
Pr 4.010 6.982 6.157
Y 1.338 5.699 3.774
Y 1.337 5.695 0.322
Y 4.009 3.616 7.885
Y 4.008 3.613 4.433
In 1.340 2.243 5.444
In 1.341 4.977 6.858
In 4.005 4.334 1.348
In 4.006 7.068 2.763

***

Entry B
20
Lattice="6.742 0.000 0.000 0.000 5.370 0.000 0.000 0.000 16.073" Properties=species:S:1:pos:R:3 comment="PBE-GGA PrY2In2, optimized geometry" space_group="Pnma (62)" dos_at_fermi_per_ev_cell=13.43 volume_a3_per_atom=29.10 magmom_total_mub_per_fu=0.00 pbc="T T T"
Pr 1.004 1.342 0.745
Pr 2.367 4.027 8.782
Pr 4.375 1.342 7.292
Pr 5.738 4.027 15.328
Y 0.240 4.027 5.727
Y 1.240 4.027 12.390
Y 2.131 1.342 4.353
Y 3.131 1.342 13.764
Y 3.611 4.027 2.309
Y 4.611 4.027 11.720
Y 5.502 1.342 3.683
Y 6.501 1.342 10.346
In 0.352 4.027 2.623
In 0.952 1.342 7.293
In 2.419 4.027 15.330
In 3.019 1.342 10.660
In 3.723 4.027 5.414
In 4.323 1.342 0.744
In 5.790 4.027 8.780
In 6.390 1.342 13.450

***

Most stable structure: entry B